Record 1
A plane-wave DFT calculation with GGA-PBE was carried out for a relaxed structure of TaSiO2.

- mass density (g/cm3) = 8.740
- space group = No. 166

Cell and atoms, written as extended XYZ:
```
4
Lattice="1.633 0.000 6.608 -0.817 1.414 6.608 -0.817 -1.414 6.608" Properties=species:S:1:pos:R:3 pbc="T T T"
O 0.000 0.000 17.960
O 0.000 0.000 1.864
Ta 0.000 0.000 9.912
Si 0.000 0.000 0.000
```


Record 2
A plane-wave DFT calculation with GGA-PBE was carried out for a relaxed structure of TaSiTcO2.

- mass density (g/cm3) = 6.562
- space group = No. 123

Cell and atoms, written as extended XYZ:
```
5
Lattice="3.431 0.000 0.000 0.000 7.289 0.000 0.000 0.000 3.431" Properties=species:S:1:pos:R:3 pbc="T T T"
O 1.715 0.000 0.000
O 0.000 0.000 1.715
Ta 0.000 3.644 0.000
Tc 1.715 3.644 1.715
Si 0.000 0.000 0.000
```


Record 3
A plane-wave DFT calculation with GGA-PBE was carried out for a relaxed structure of TaTlSi2O8.

- mass density (g/cm3) = 5.364
- space group = No. 148

Cell and atoms, written as extended XYZ:
```
12
Lattice="5.155 0.000 0.000 2.577 4.464 0.000 2.577 1.488 7.662" Properties=species:S:1:pos:R:3 pbc="T T T"
Si 2.577 1.488 1.672
Si 7.732 4.464 5.990
O 7.732 4.464 4.327
O 2.063 2.944 1.160
O 1.574 0.314 1.160
O 8.736 5.638 6.501
O 6.214 4.746 6.501
O 8.247 3.008 6.501
O 2.577 1.488 3.334
O 4.096 1.206 1.160
Ta 0.000 0.000 0.000
Tl 5.155 2.976 3.831
```


Record 4
A plane-wave DFT calculation with GGA-PBE was carried out for a relaxed structure of TaTl2SiO6.

- mass density (g/cm3) = 7.798
- space group = No. 42

Cell and atoms, written as extended XYZ:
```
10
Lattice="5.114 0.004 -0.001 0.004 5.114 -0.001 -2.561 -2.561 5.814" Properties=species:S:1:pos:R:3 pbc="T T T"
Tl 2.555 0.004 3.290
Tl 0.002 2.558 3.290
O 1.358 1.361 5.780
O 1.356 -1.359 5.768
O 2.559 2.562 2.227
O -1.363 -1.360 5.780
O 0.001 0.003 2.106
O -1.361 1.359 5.768
Ta 2.559 2.561 0.409
Si 0.000 0.002 0.441
```


Record 5
A plane-wave DFT calculation with GGA-PBE was carried out for a relaxed structure of YTa2SiO.

- mass density (g/cm3) = 9.269
- space group = No. 123

Cell and atoms, written as extended XYZ:
```
5
Lattice="-1.494 -3.572 1.451 2.010 -2.497 -4.077 3.506 -0.612 2.104" Properties=species:S:1:pos:R:3 pbc="T T T"
Y 2.011 -3.341 -0.261
Si 1.005 -1.249 -2.038
Ta -0.747 -1.786 0.725
Ta 1.753 -0.306 1.052
O 0.000 0.000 0.000
```


Record 6
A plane-wave DFT calculation with GGA-PBE was carried out for a relaxed structure of ZrTa2SiO.

- mass density (g/cm3) = 9.237
- space group = No. 123

Cell and atoms, written as extended XYZ:
```
5
Lattice="5.067 0.000 0.000 0.000 3.481 0.000 0.000 0.000 5.067" Properties=species:S:1:pos:R:3 pbc="T T T"
Si 0.000 0.000 0.000
Ta 0.000 0.000 2.534
Ta 2.534 0.000 0.000
O 0.000 1.741 0.000
Zr 2.534 1.741 2.534
```


Record 7
A plane-wave DFT calculation with GGA-PBE was carried out for a relaxed structure of Tb2SiO6.

- mass density (g/cm3) = 6.283
- space group = No. 136

Cell and atoms, written as extended XYZ:
```
18
Lattice="4.887 0.000 0.000 0.000 4.887 0.000 0.000 0.000 9.779" Properties=species:S:1:pos:R:3 pbc="T T T"
Tb 0.000 0.000 6.553
Tb 2.444 2.444 8.115
Tb 2.444 2.444 1.664
Tb 0.000 0.000 3.226
O 1.571 1.571 6.205
O 1.187 3.700 4.890
O 0.872 4.015 1.316
O 4.015 0.872 1.316
O 3.700 1.187 4.890
O 4.015 0.872 8.463
O 1.256 1.256 0.000
O 0.872 4.015 8.463
O 3.631 3.631 0.000
O 3.316 3.316 3.574
O 3.316 3.316 6.205
O 1.571 1.571 3.574
Si 2.444 2.444 4.890
Si 0.000 0.000 0.000
```


Record 8
A plane-wave DFT calculation with GGA-PBE was carried out for a relaxed structure of Tb2SiO5.

- mass density (g/cm3) = 6.338
- relative energy among the computed polymorphs (eV/f.u.) = 0.00
- space group = No. 15

Cell and atoms, written as extended XYZ:
```
32
Lattice="6.421 0.000 2.374 2.651 7.109 2.701 0.056 -0.328 9.720" Properties=species:S:1:pos:R:3 pbc="T T T"
Tb 4.889 0.444 11.368
Tb 4.239 6.337 3.427
Tb 6.096 2.619 8.103
Tb 3.032 4.162 6.692
Tb 3.543 0.144 7.825
Tb 5.586 6.637 6.970
Tb 2.769 2.919 9.918
Tb 6.359 3.862 4.877
O 5.414 4.400 6.937
O 4.982 2.699 10.539
O 6.193 1.807 5.902
O 6.889 3.022 12.399
O 1.860 3.123 4.981
O 4.146 4.082 4.256
O 6.208 6.099 4.791
O 5.628 0.364 8.793
O 3.714 2.381 7.858
O 2.936 4.974 8.893
O 3.122 6.513 11.158
O 6.006 0.267 3.638
O 3.475 1.584 3.382
O 2.240 3.759 2.396
O 7.268 3.657 9.814
O 7.264 6.740 8.549
O 3.500 6.417 6.002
O 1.864 0.040 6.246
O 2.920 0.681 10.005
O 5.653 5.197 11.413
Si 6.000 0.308 5.284
Si 2.926 3.083 3.727
Si 3.128 6.473 9.512
Si 6.202 3.698 11.069
```


Record 9
A plane-wave DFT calculation with GGA-PBE was carried out for a relaxed structure of Tb3SiO6.

- mass density (g/cm3) = 7.376
- space group = No. 36

Cell and atoms, written as extended XYZ:
```
20
Lattice="5.449 0.000 0.000 0.000 7.124 0.056 0.000 -1.535 6.957" Properties=species:S:1:pos:R:3 pbc="T T T"
O 3.615 4.099 0.798
O 1.141 2.054 2.301
O 1.141 3.805 4.498
O 0.594 -1.119 6.625
O 3.937 0.350 5.455
O 3.866 1.784 2.515
O 0.891 -0.137 4.174
O 1.213 5.239 1.559
O 0.891 1.490 6.216
O 3.615 5.726 2.840
O 3.319 6.708 0.388
O 3.866 3.536 4.713
Tb 5.100 3.659 2.818
Tb 5.318 3.674 6.387
Tb 2.594 1.916 0.626
Tb 2.594 5.407 5.006
Tb 5.318 0.183 2.007
Tb 2.375 1.930 4.196
Si 2.834 5.447 1.393
Si 0.109 0.142 5.621
```


Record 10
A plane-wave DFT calculation with GGA-PBE was carried out for a relaxed structure of Tb4Si2O.

- mass density (g/cm3) = 7.047
- relative energy among the computed polymorphs (eV/f.u.) = 0.00
- space group = No. 11

Cell and atoms, written as extended XYZ:
```
14
Lattice="-1.964 -6.199 -0.271 3.445 -0.849 -5.529 6.991 0.303 4.309" Properties=species:S:1:pos:R:3 pbc="T T T"
Tb 5.067 -0.909 -2.557
Tb 5.907 -3.284 0.286
Tb -0.315 -5.839 -1.251
Tb 2.565 -3.461 -1.776
Tb 3.405 -5.836 1.067
Tb 4.188 -2.860 3.045
Tb 8.787 -0.906 -0.240
Tb 4.284 -3.885 -4.536
Si 3.399 -1.631 0.417
Si 6.963 -1.690 2.647
Si 5.073 -5.114 -1.908
Si 1.509 -5.056 -4.137
O 3.415 -2.218 -3.385
O 5.057 -4.527 1.895
```


Record 11
A plane-wave DFT calculation with GGA-PBE was carried out for a relaxed structure of Tb2SiO5.

- mass density (g/cm3) = 6.837
- relative energy among the computed polymorphs (eV/f.u.) = 0.16
- space group = No. 14

Cell and atoms, written as extended XYZ:
```
32
Lattice="-5.324 -0.120 4.489 -4.104 -2.165 -4.925 0.337 -9.152 0.155" Properties=species:S:1:pos:R:3 pbc="T T T"
O -5.436 -5.125 -1.690
O -3.450 -6.686 -1.256
O -6.659 -2.258 1.384
O -2.432 -9.179 -1.666
O -2.817 -3.068 1.200
O -7.868 -7.443 0.767
O -6.275 -8.369 -1.482
O -4.276 -2.303 -1.015
O -2.975 -4.108 -2.859
O -6.116 -7.329 2.577
O -3.655 -6.312 1.408
O -8.002 -5.841 -1.229
O -1.224 -3.994 -1.049
O -3.387 -1.148 2.819
O -8.263 -10.248 -0.552
O -5.704 -10.289 -3.100
O -1.089 -5.596 0.947
O -4.815 -9.134 0.734
O -0.828 -1.189 0.271
O -5.641 -4.751 0.974
Tb -6.006 -10.556 -0.650
Tb -3.808 -1.933 -3.216
Tb -5.284 -9.504 2.934
Tb -5.528 -6.996 0.181
Tb -3.086 -0.881 0.368
Tb -4.639 -5.939 3.625
Tb -3.563 -4.441 -0.463
Tb -4.453 -5.498 -3.906
Si -2.078 -6.530 1.808
Si -6.681 -3.863 1.823
Si -2.411 -7.574 -2.105
Si -7.013 -4.907 -2.089
```


Record 12
A plane-wave DFT calculation with GGA-PBE was carried out for a relaxed structure of Tb3SiO.

- mass density (g/cm3) = 8.409
- relative energy among the computed polymorphs (eV/f.u.) = 0.23
- space group = No. 221

Cell and atoms, written as extended XYZ:
```
5
Lattice="-3.342 3.143 0.950 -0.457 -1.788 4.307 3.252 2.979 1.582" Properties=species:S:1:pos:R:3 pbc="T T T"
Tb -0.228 -0.894 2.153
Tb -1.671 1.572 0.475
Tb 1.626 1.490 0.791
Si -0.273 2.167 3.419
O 0.000 0.000 0.000
```


| no. | final energy (eV per atom) | formation energy (no corrections) (eV per atom) | DOS(E_F) (states/eV/cell) |
| --- | --- | --- | --- |
| 1 | -8.360 | -1.562 | 1.43 |
| 2 | -7.664 | -0.153 | 2.57 |
| 3 | -7.510 | -2.116 | 4.96 |
| 4 | -7.070 | -1.894 | 4.72 |
| 5 | -8.697 | -0.587 | 3.43 |
| 6 | -8.195 | 0.332 | 5.85 |
| 7 | -7.539 | -2.602 | 6.16 |
| 8 | -8.305 | -3.371 | 0.00 |
| 9 | -8.092 | -3.185 | 4.42 |
| 10 | -6.147 | -1.244 | 7.65 |
| 11 | -8.285 | -3.351 | 0.00 |
| 12 | -6.192 | -1.338 | 4.02 |